Entry 1:
The following is a DFT calculation (PBEsol) of a relaxed structure of Mg2BeGeAu.

Cell: 4.057 5.027 5.027 Å, 90.00 90.00 90.00°
Atoms (fractional coordinates):
Be (0.500, 0.000, 0.000)
Ge (0.000, 0.000, 0.000)
Au (0.500, 0.500, 0.500)
Mg (0.000, 0.000, 0.500)
Mg (0.000, 0.500, 0.000)

Computed properties:
Energy of formation: 252.6 meV per atom
Size of the total moment: 0.00 μB per cell
DFT total energy: -3.01 eV/atom


Entry 2:
The following is a DFT calculation (PBEsol) of a relaxed structure of Ca2LaZn.

Cell: 3.548 3.548 9.664 Å, 90.00 90.00 90.00°
Atoms (fractional coordinates):
Zn (0.500, 0.500, 0.500)
Ca (0.000, 0.000, 0.690)
Ca (0.000, 0.000, 0.310)
La (0.500, 0.500, 0.000)

Computed properties:
Energy of formation: -41.8 meV per atom
Size of the total moment: 0.00 μB per cell
DFT total energy: -2.84 eV/atom


Entry 3:
The following is a DFT calculation (PBEsol) of a relaxed structure of CrAgAu4.

Cell: 5.360 5.360 5.360 Å, 60.00 60.00 60.00°
Each line ends with the local moment (μB).
Atoms (fractional coordinates):
Ag (0.000, 0.000, 0.000)  0.00
Au (0.375, 0.375, 0.375)  0.03
Au (0.375, 0.375, 0.875)  0.03
Au (0.875, 0.375, 0.375)  0.03
Au (0.375, 0.875, 0.375)  0.03
Cr (0.750, 0.750, 0.750)  3.90

Computed properties:
Energy of formation: 245.6 meV per atom
Size of the total moment: 4.47 μB per cell
DFT total energy: -4.63 eV/atom


- Number 2 is which compound?
  Ca2LaZn


Please write out number 1 again, unchanged.
The following is a DFT calculation (PBEsol) of a relaxed structure of Mg2BeGeAu.

Cell: 4.057 5.027 5.027 Å, 90.00 90.00 90.00°
Atoms (fractional coordinates):
Be (0.500, 0.000, 0.000)
Ge (0.000, 0.000, 0.000)
Au (0.500, 0.500, 0.500)
Mg (0.000, 0.000, 0.500)
Mg (0.000, 0.500, 0.000)

Computed properties:
Energy of formation: 252.6 meV per atom
Size of the total moment: 0.00 μB per cell
DFT total energy: -3.01 eV/atom


- Which value of DFT total energy does entry 3 give?
  -4.63 eV/atom